Below is a relaxed CrBiPCl2 crystal, with properties calculated at the PBE level.

```
5
Lattice="4.643 0.000 0.000 0.000 4.643 0.000 0.000 0.000 5.120" Properties=species:S:1:pos:R:3 pbc="T T T"
Cr 0.000 0.000 0.000
P 0.000 0.000 2.560
Bi 2.321 2.321 2.560
Cl 0.000 2.321 0.000
Cl 2.321 0.000 0.000
```

Results
- Energy relative to the elements, uncorrected: -0.115 eV/atom
- Distance to the lowest polymorph of the same formula: 0.0000 eV/atom
- SG: P4/mmm, No. 123
- Total DFT energy (no corrections): -4.636 eV/atom
- Fermi-level density of states: 2.22 states/eV per cell